# 1
# Mg2MnSb

A relaxed Mg2MnSb crystal (PBE-GGA, Alexandria).

Properties
total magnetization = 0.8574 μB per atom
space-group type = I4/mmm, No. 139
formation energy from raw total energies = 0.84 kcal/mol of atoms
DFT total energy = -0.1501 hartree per atom

Cell lengths 5.4992, 5.4992, 5.4992 Å; angles 135.75, 135.75, 64.37 degrees
Closest atoms and distances in Å follow each position.
Atoms (fractional coordinates):
Mg: 0.2500 0.7500 0.5000  4 Mg 2.93, 4 Mn 3.12, 4 Sb 3.12
Mg: 0.7500 0.2500 0.5000  4 Mg 2.93, 4 Mn 3.12, 4 Sb 3.12
Mn: 0.0000 0.0000 0.0000  4 Sb 2.93, 8 Mg 3.12
Sb: 0.5000 0.5000 0.0000  4 Mn 2.93, 8 Mg 3.12

# 2
# LiRe2Se

A relaxed LiRe2Se crystal (PBE-GGA, Alexandria).

Properties
total magnetization = 0.0000 μB per atom
space-group type = Cm, No. 8
formation energy from raw total energies = 5.61 kcal/mol of atoms
DFT total energy = -0.2694 hartree per atom

Cell lengths 3.8488, 3.8488, 7.6275 Å; angles 105.08, 105.08, 43.86 degrees
Closest atoms and distances in Å follow each position.
Atoms (fractional coordinates):
Li: 0.0000 0.0000 0.0000  3 Se 2.55-2.68
Re: 0.5875 0.5875 0.5000  1 Re 2.29, 2 Se 2.52
Re: 0.7889 0.7889 0.3126  1 Re 2.29
Se: 0.2117 0.2117 0.7806  2 Re 2.52, 3 Li 2.55-2.68

# 3
# Ac3Nd3Pd4

A relaxed Ac3Nd3Pd4 crystal (PBE-GGA, Alexandria).

Properties
energy of formation = -13.7 kcal/mol of atoms
total magnetization = 0.0000 μB per atom
space-group type = Amm2, No. 38
DFT total energy = -0.1961 hartree per atom

Cell lengths 4.1132, 8.3233, 8.3233 Å; angles 91.13, 90.00, 90.00 degrees
Closest atoms and distances in Å follow each position.
Atoms (fractional coordinates):
Ac: 0.0000 0.0000 0.0000  6 Pd 3.20-3.26
Ac: 0.5000 0.3479 0.8376  4 Pd 3.15-3.36
Ac: 0.5000 0.8376 0.3479  4 Pd 3.15-3.36
Nd: 0.0000 0.1818 0.5000  6 Pd 3.14-3.26
Nd: 0.0000 0.5000 0.1818  6 Pd 3.14-3.26
Nd: 0.0000 0.6729 0.6729  6 Pd 3.17-3.18
Pd: 0.5000 0.2175 0.2175  1 Pd 2.90, 4 Nd 3.14
Pd: 0.5000 0.4660 0.4660  1 Pd 2.90, 6 Nd 3.15-3.17
Pd: 0.5000 0.7077 0.9633  1 Pd 3.04, 4 Ac 3.15-3.36, 4 Nd 3.18-3.26
Pd: 0.5000 0.9633 0.7077  1 Pd 3.04, 4 Ac 3.15-3.36, 4 Nd 3.18-3.26

# 4
# BaAg2Te4As

A relaxed BaAg2Te4As crystal (PBE-GGA, Alexandria).

Properties
total magnetization = 0.0000 μB per atom
space-group type = I222, No. 23
formation energy from raw total energies = -9.61 kcal/mol of atoms
DFT total energy = -0.1294 hartree per atom

Cell lengths 7.0813, 7.0813, 7.0813 Å; angles 115.85, 110.87, 101.99 degrees
Closest atoms and distances in Å follow each position.
Atoms (fractional coordinates):
Ba: 0.0000 0.0000 0.0000  8 Te 3.63-3.65
Ag: 0.3282 0.8282 0.5000  2 Te 2.75, 1 Ag 3.06
Ag: 0.6718 0.1718 0.5000  2 Te 2.75, 1 Ag 3.06
Te: 0.1230 0.1188 0.5972  1 As 2.72, 1 Ag 2.75
Te: 0.4784 0.8812 0.0042  1 As 2.72, 1 Ag 2.75
Te: 0.5216 0.5258 0.4028  1 As 2.72, 1 Ag 2.75
Te: 0.8770 0.4742 0.9958  1 As 2.72, 1 Ag 2.75
As: 0.5000 0.5000 0.0000  4 Te 2.72

# 5
# DyCu4Pt6

A relaxed DyCu4Pt6 crystal (PBE-GGA, Alexandria).

Properties
energy of formation = -3.0 kcal/mol of atoms
total magnetization = 0.0000 μB per atom
space-group type = I-42m, No. 121
DFT total energy = -0.1960 hartree per atom

Cell lengths 6.5144, 6.5144, 6.5144 Å; angles 123.36, 123.36, 84.27 degrees
Closest atoms and distances in Å follow each position.
Atoms (fractional coordinates):
Dy: 0.0000 0.0000 0.0000  8 Pt 2.93-3.09, 4 Cu 3.20
Cu: 0.2622 0.2622 0.7038  6 Pt 2.44-2.73, 3 Cu 2.52-2.59
Cu: 0.4416 0.7378 0.0000  6 Pt 2.44-2.73, 3 Cu 2.52-2.59
Cu: 0.5584 0.5584 0.2962  6 Pt 2.44-2.73, 3 Cu 2.52-2.59
Cu: 0.7378 0.4416 0.0000  6 Pt 2.44-2.73, 3 Cu 2.52-2.59
Pt: 0.0000 0.5000 0.5000  4 Cu 2.51, 4 Pt 2.81
Pt: 0.0855 0.5497 0.0000  4 Cu 2.44-2.73
Pt: 0.4503 0.4503 0.5358  4 Cu 2.44-2.73
Pt: 0.5000 0.0000 0.5000  4 Cu 2.51, 4 Pt 2.81
Pt: 0.5497 0.0855 0.0000  4 Cu 2.44-2.73
Pt: 0.9145 0.9145 0.4642  4 Cu 2.44-2.73

# 6
# PmPuB2O8

A relaxed PmPuB2O8 crystal (PBE-GGA, Alexandria).

Properties
total magnetization = 0.0796 μB per atom
space-group type = P-3m1, No. 164
formation energy from raw total energies = -54.53 kcal/mol of atoms
DFT total energy = -0.3077 hartree per atom

Cell lengths 5.0318, 5.0318, 6.8384 Å; angles 90.00, 90.00, 120.00 degrees
Closest atoms and distances in Å follow each position.
Atoms (fractional coordinates):
Pm: 0.0000 0.0000 0.0000  6 O 2.55
Pu: 0.0000 0.0000 0.5000  6 O 2.04
B: 0.3333 0.6667 0.2194  4 O 1.40-1.49
B: 0.6667 0.3333 0.7806  4 O 1.40-1.49
O: 0.1740 0.3480 0.2999  1 B 1.49
O: 0.1740 0.8260 0.2999  1 B 1.49
O: 0.3333 0.6667 0.0152  1 B 1.40
O: 0.3480 0.1740 0.7001  1 B 1.49
O: 0.6520 0.8260 0.2999  1 B 1.49
O: 0.6667 0.3333 0.9848  1 B 1.40
O: 0.8260 0.1740 0.7001  1 B 1.49
O: 0.8260 0.6520 0.7001  1 B 1.49